(1)
# MnZn2Os, single point on PBEsol structure, DFT meta-GGA SCAN
# Formation energy from the elements (eV per atom): 0.01
# Crystal system: tetragonal
# Volume (A^3/atom): 12.79
# SG: No. 99
# Uncorrected energy (eV per atom): -29.28
data_MnZn2Os
_symmetry_space_group_name_H-M 'P 1'
_symmetry_Int_Tables_number 1
_symmetry_space_group_name_Hall 'P 1'
_cell_length_a 2.757
_cell_length_b 2.757
_cell_length_c 6.732
_cell_angle_alpha 90.00
_cell_angle_beta 90.00
_cell_angle_gamma 90.00
loop_
_atom_site_label
_atom_site_fract_x
_atom_site_fract_y
_atom_site_fract_z
Mn1 0.000 0.000 0.000
Zn1 0.000 0.000 0.495
Zn2 0.500 0.500 0.757
Os1 0.500 0.500 0.221

(2)
# BaNiRh2, single point on PBEsol structure, DFT meta-GGA SCAN
# Formation energy from the elements (eV per atom): -0.07
# Crystal system: trigonal
# Volume (A^3/atom): 21.63
# SG: No. 160
# Uncorrected energy (eV per atom): -30.89
data_BaNiRh2
_symmetry_space_group_name_H-M 'P 1'
_symmetry_Int_Tables_number 1
_symmetry_space_group_name_Hall 'P 1'
_cell_length_a 4.286
_cell_length_b 4.286
_cell_length_c 16.313
_cell_angle_alpha 90.00
_cell_angle_beta 90.00
_cell_angle_gamma 120.00
loop_
_atom_site_label
_atom_site_fract_x
_atom_site_fract_y
_atom_site_fract_z
Ba1 0.000 0.000 0.000
Ba2 0.333 0.667 0.667
Ba3 0.667 0.333 0.333
Ni1 0.000 0.000 0.817
Ni2 0.333 0.667 0.484
Ni3 0.667 0.333 0.150
Rh1 0.000 0.000 0.185
Rh2 0.000 0.000 0.501
Rh3 0.333 0.667 0.167
Rh4 0.333 0.667 0.851
Rh5 0.667 0.333 0.518
Rh6 0.667 0.333 0.834

(3)
# CdPtSe2, single point on PBEsol structure, DFT meta-GGA SCAN
# Formation energy (no corrections) (meV per atom): -72
# Crystal system: tetragonal
# Volume (A^3/atom): 19.90
# SG: No. 139
# Uncorrected energy (eV per atom): -35.26
data_CdPtSe2
_symmetry_space_group_name_H-M 'P 1'
_symmetry_Int_Tables_number 1
_symmetry_space_group_name_Hall 'P 1'
_cell_length_a 5.326
_cell_length_b 5.326
_cell_length_c 5.612
_cell_angle_alpha 90.00
_cell_angle_beta 90.00
_cell_angle_gamma 90.00
loop_
_atom_site_label
_atom_site_fract_x
_atom_site_fract_y
_atom_site_fract_z
Cd1 0.000 0.000 0.000
Cd2 0.500 0.500 0.500
Pt1 0.000 0.000 0.500
Pt2 0.500 0.500 0.000
Se1 0.000 0.500 0.000
Se2 0.000 0.500 0.500
Se3 0.500 0.000 0.000
Se4 0.500 0.000 0.500

(4)
# CaTcPt2, single point on PBEsol structure, DFT meta-GGA SCAN
# Formation energy from the elements (eV per atom): -0.05
# Crystal system: tetragonal
# Volume (A^3/atom): 16.28
# SG: No. 119
# Uncorrected energy (eV per atom): -46.33
data_CaTcPt2
_symmetry_space_group_name_H-M 'P 1'
_symmetry_Int_Tables_number 1
_symmetry_space_group_name_Hall 'P 1'
_cell_length_a 4.004
_cell_length_b 4.004
_cell_length_c 8.127
_cell_angle_alpha 90.00
_cell_angle_beta 90.00
_cell_angle_gamma 90.00
loop_
_atom_site_label
_atom_site_fract_x
_atom_site_fract_y
_atom_site_fract_z
Ca1 0.000 0.000 0.000
Ca2 0.500 0.500 0.500
Tc1 0.000 0.500 0.250
Tc2 0.500 0.000 0.750
Pt1 0.000 0.000 0.500
Pt2 0.000 0.500 0.750
Pt3 0.500 0.000 0.250
Pt4 0.500 0.500 0.000

(5)
# Ca2SbOs, single point on PBEsol structure, DFT meta-GGA SCAN
# Formation energy (no corrections) (meV per atom): -130
# Crystal system: orthorhombic
# Volume (A^3/atom): 23.95
# SG: No. 44
# Uncorrected energy (eV per atom): -32.25
data_Ca2SbOs
_symmetry_space_group_name_H-M 'P 1'
_symmetry_Int_Tables_number 1
_symmetry_space_group_name_Hall 'P 1'
_cell_length_a 3.396
_cell_length_b 5.015
_cell_length_c 11.249
_cell_angle_alpha 90.00
_cell_angle_beta 90.00
_cell_angle_gamma 90.00
loop_
_atom_site_label
_atom_site_fract_x
_atom_site_fract_y
_atom_site_fract_z
Ca1 0.000 0.000 0.000
Ca2 0.000 0.500 0.200
Ca3 0.500 0.000 0.700
Ca4 0.500 0.500 0.500
Sb1 0.000 0.000 0.401
Sb2 0.500 0.500 0.901
Os1 0.000 0.500 0.724
Os2 0.500 0.000 0.224

(6)
# YNi2Te, single point on PBEsol structure, DFT meta-GGA SCAN
# Formation energy (no corrections) (meV per atom): -203
# Crystal system: tetragonal
# Volume (A^3/atom): 17.78
# SG: No. 99
# Uncorrected energy (eV per atom): -24.56
data_YNi2Te
_symmetry_space_group_name_H-M 'P 1'
_symmetry_Int_Tables_number 1
_symmetry_space_group_name_Hall 'P 1'
_cell_length_a 3.347
_cell_length_b 3.347
_cell_length_c 6.349
_cell_angle_alpha 90.00
_cell_angle_beta 90.00
_cell_angle_gamma 90.00
loop_
_atom_site_label
_atom_site_fract_x
_atom_site_fract_y
_atom_site_fract_z
Y1 0.000 0.000 0.000
Ni1 0.000 0.000 0.435
Ni2 0.500 0.500 0.239
Te1 0.500 0.500 0.627